# BaMnO2 PBE+U optimized geometry
# magnetic moment = 0.25 μB/atom
# raw total energy = -5.919 eV/atom
data_BaMnO2
_cell_length_a 4.876
_cell_length_b 4.876
_cell_length_c 11.489
_cell_angle_alpha 90.00
_cell_angle_beta 90.00
_cell_angle_gamma 90.00
_space_group_name_H-M_alt 'I -4 2 d'
_space_group_IT_number 122
_space_group_name_Hall 'I -4 2bw'
loop_
_atom_site_label
_atom_site_fract_x
_atom_site_fract_y
_atom_site_fract_z
_atom_site_occupancy
Ba1 0.000 0.000 0.000 1
Mn1 0.000 0.000 0.500 1
O1 0.126 0.250 0.625 1